BaTa3Co: PBEsol geometry, SCAN.

Summary:
E_form (meV/atom): 3369
Energy (eV/atom): -47.952
Theoretical density (g/cm3): 10.1
Density of states at the Fermi level (states/eV/cell): 2.73

Cell: 4.9540 4.9540 4.9540 Å, 90.00 90.00 90.00°
With the nearest neighbours (Å) after each atom.
Sites, in units of the cell vectors:
Ba (0.0000, 0.0000, 0.0000)  6 Ta 2.48
Ta (0.0000, 0.0000, 0.5000)  2 Ba 2.48
Ta (0.0000, 0.5000, 0.0000)  2 Ba 2.48
Ta (0.5000, 0.0000, 0.0000)  2 Ba 2.48
Co (0.5000, 0.5000, 0.5000)  12 Ta 3.50



Ba5Mg18Ge13: PBEsol geometry, SCAN.

Summary:
E_form (meV/atom): -452
Energy (eV/atom): -15.325
Theoretical density (g/cm3): 4.2
Density of states at the Fermi level (states/eV/cell): 3.17

Cell: 14.5983 14.5983 4.4837 Å, 90.00 90.00 120.00°
With the nearest neighbours (Å) after each atom.
Sites, in units of the cell vectors:
Ba (0.0000, 0.1797, 0.0000)  8 Ge 3.41-3.56, 6 Mg 3.60-3.64
Ba (0.1797, 0.0000, 0.0000)  8 Ge 3.41-3.56, 6 Mg 3.60-3.64
Ba (0.3333, 0.6667, 0.5006)  6 Ge 3.43, 9 Mg 3.67-3.69
Ba (0.6667, 0.3333, 0.5006)  6 Ge 3.43, 9 Mg 3.67-3.69
Ba (0.8203, 0.8203, 0.0000)  8 Ge 3.41-3.56, 6 Mg 3.60-3.64
Mg (0.0000, 0.5578, 0.5011)  1 Ge 2.76
Mg (0.0000, 0.7190, 0.0014)  4 Ge 2.69-2.75
Mg (0.1221, 0.4824, 0.0007)  4 Ge 2.75-2.83
Mg (0.1779, 0.8032, 0.5005)  4 Ge 2.75-2.83
Mg (0.1968, 0.3747, 0.5005)  4 Ge 2.75-2.83
Mg (0.2810, 0.2810, 0.0014)  4 Ge 2.69-2.75
Mg (0.3603, 0.8779, 0.0007)  4 Ge 2.75-2.83
Mg (0.3747, 0.1968, 0.5005)  4 Ge 2.75-2.83
Mg (0.4422, 0.4422, 0.5011)  1 Ge 2.76
Mg (0.4824, 0.1221, 0.0007)  4 Ge 2.75-2.83
Mg (0.5176, 0.6397, 0.0007)  4 Ge 2.75-2.83
Mg (0.5578, 0.0000, 0.5011)  1 Ge 2.76
Mg (0.6253, 0.8221, 0.5005)  4 Ge 2.75-2.83
Mg (0.6397, 0.5176, 0.0007)  4 Ge 2.75-2.83
Mg (0.7190, 0.0000, 0.0014)  4 Ge 2.69-2.75
Mg (0.8032, 0.1779, 0.5005)  4 Ge 2.75-2.83
Mg (0.8221, 0.6253, 0.5005)  4 Ge 2.75-2.83
Mg (0.8779, 0.3603, 0.0007)  4 Ge 2.75-2.83
Ge (0.0000, 0.0000, 0.4930)  3 Ge 2.51
Ge (0.0000, 0.3688, 0.5005)  7 Mg 2.76-2.83
Ge (0.0000, 0.8278, 0.5017)  1 Ge 2.51, 4 Mg 2.75-2.79
Ge (0.1678, 0.6897, 0.0004)  5 Mg 2.69-2.78
Ge (0.1722, 0.1722, 0.5017)  1 Ge 2.51, 4 Mg 2.75-2.79
Ge (0.3103, 0.4781, 0.0004)  5 Mg 2.69-2.78
Ge (0.3688, 0.0000, 0.5005)  7 Mg 2.76-2.83
Ge (0.4781, 0.3103, 0.0004)  5 Mg 2.69-2.78
Ge (0.5219, 0.8322, 0.0004)  5 Mg 2.69-2.78
Ge (0.6312, 0.6312, 0.5005)  7 Mg 2.76-2.83
Ge (0.6897, 0.1678, 0.0004)  5 Mg 2.69-2.78
Ge (0.8278, 0.0000, 0.5017)  1 Ge 2.51, 4 Mg 2.75-2.79
Ge (0.8322, 0.5219, 0.0004)  5 Mg 2.69-2.78



ZnAgMo2: PBEsol geometry, SCAN.

Summary:
E_form (meV/atom): 330
Energy (eV/atom): -28.333
Theoretical density (g/cm3): 10.0
Density of states at the Fermi level (states/eV/cell): 4.31

Cell: 9.1691 2.6001 5.1128 Å, 90.00 94.85 90.00°
With the nearest neighbours (Å) after each atom.
Sites, in units of the cell vectors:
Zn (0.0000, 0.0000, 0.0000)  2 Zn 2.60, 3 Ag 2.67-2.77, 5 Mo 2.81-2.86
Zn (0.5000, 0.5000, 0.0000)  2 Zn 2.60, 3 Ag 2.67-2.77, 5 Mo 2.81-2.86
Ag (0.2526, 0.0000, 0.7776)  2 Ag 2.60, 3 Zn 2.67-2.77, 7 Mo 2.85-2.91
Ag (0.7526, 0.5000, 0.7776)  2 Ag 2.60, 3 Zn 2.67-2.77, 7 Mo 2.85-2.91
Mo (0.0054, 0.5000, 0.4885)  5 Mo 2.55-2.85, 2 Zn 2.81, 1 Ag 2.85
Mo (0.2462, 0.5000, 0.2717)  5 Mo 2.55-2.85, 1 Zn 2.81, 2 Ag 2.85
Mo (0.5054, 0.0000, 0.4885)  5 Mo 2.55-2.85, 2 Zn 2.81, 1 Ag 2.85
Mo (0.7462, 0.0000, 0.2717)  5 Mo 2.55-2.85, 1 Zn 2.81, 2 Ag 2.85



Ta4SiAg: PBEsol geometry, SCAN.

Summary:
Uncorrected formation energy (eV per atom): 0.66
Energy (eV/atom): -50.627
Theoretical density (g/cm3): 13.1
Density of states at the Fermi level (states/eV/cell): 4.37

Cell: 5.3562 5.3562 5.3562 Å, 60.00 60.00 60.00°
With the nearest neighbours (Å) after each atom.
Sites, in units of the cell vectors:
Ta (0.1253, 0.1253, 0.1253)  6 Ta 2.67-2.68
Ta (0.1253, 0.1253, 0.6242)  6 Ta 2.67-2.68
Ta (0.1253, 0.6242, 0.1253)  6 Ta 2.67-2.68
Ta (0.6242, 0.1253, 0.1253)  6 Ta 2.67-2.68
Si (0.5000, 0.5000, 0.5000)  12 Ta 3.14, 4 Ag 3.28
Ag (0.7500, 0.7500, 0.7500)  12 Ta 3.14, 4 Si 3.28